A relaxed structure of Sb2MoSe, computed with PBE.

Output
Symmetry ... P4/mmm, No. 123
Calculated volume ... 84 Å³/f.u.
Raw formation energy ... 0.196 eV/atom

a = 3.457 Å, b = 3.457 Å, c = 7.028 Å
α = 90.00°, β = 90.00°, γ = 90.00°
Fractional positions:
Mo 0.500 0.500 0.750
Sb 0.000 0.000 0.971
Sb 0.000 0.000 0.529
Se 0.500 0.500 0.250


A relaxed structure of PmPaSe2O, computed with PBE.

Output
Symmetry ... P4/nmm, No. 129
Calculated volume ... 114 Å³/f.u.
Raw formation energy ... -2.157 eV/atom

a = 4.033 Å, b = 4.033 Å, c = 14.056 Å
α = 90.00°, β = 90.00°, γ = 90.00°
Fractional positions:
Pm 0.500 0.000 0.583
Pm 0.000 0.500 0.417
Pa 0.500 0.000 0.103
Pa 0.000 0.500 0.897
Se 0.000 0.500 0.702
Se 0.000 0.500 0.111
Se 0.500 0.000 0.889
Se 0.500 0.000 0.298
O 0.000 0.000 0.500
O 0.500 0.500 0.500


A relaxed structure of Sc3NbPd12, computed with PBE.

Output
Symmetry ... P4/mmm, No. 123
Calculated volume ... 256 Å³/f.u.
Formation energy from the elements ... -12.10 eV per formula unit

a = 4.001 Å, b = 4.001 Å, c = 15.986 Å
α = 90.00°, β = 90.00°, γ = 90.00°
Fractional positions:
Sc 0.000 0.000 0.253
Sc 0.000 0.000 0.500
Sc 0.000 0.000 0.747
Nb 0.000 0.000 0.000
Pd 0.500 0.500 0.000
Pd 0.500 0.500 0.247
Pd 0.500 0.500 0.500
Pd 0.500 0.500 0.753
Pd 0.500 0.000 0.120
Pd 0.500 0.000 0.374
Pd 0.500 0.000 0.626
Pd 0.500 0.000 0.880
Pd 0.000 0.500 0.120
Pd 0.000 0.500 0.374
Pd 0.000 0.500 0.626
Pd 0.000 0.500 0.880